# MgTl2As2

Crystalline MgTl2As2 at its relaxed geometry (GGA-PBEsol, Alexandria).

Its energy is -35.5 eV/cell. For the size of the total moment, the calculation gives 0.0 μB/cell. The density of states at the Fermi level comes out at 0.94 states/eV/f.u.

It has space group P4/mbm (No. 127), with a = 6.835 Å, b = 6.835 Å, c = 5.262 Å, α = 90.00°, β = 90.00° and γ = 90.00°. The distinct sites, in fractional coordinates, are Mg at (0.000, 0.000, 0.000), Tl at (0.180, 0.320, 0.500) and As at (0.126, 0.626, 0.000).